{"formula": "LaTbTe2Se", "functional": "PBE", "state": "relaxed", "final_energy_ev_per_atom": -5.37, "magmom_total_mub_per_atom": 0.00, "raw_formation_energy_ev_per_atom": -1.5033, "volume_a3_per_cell": 308.8, "cell": [[4.428, 0.000, 0.000], [0.000, 4.428, 0.000], [0.000, 0.000, 15.750]], "species": ["La", "La", "Tb", "Tb", "Te", "Te", "Te", "Te", "Se", "Se"], "frac_coords": [[0.250, 0.250, 0.132], [0.750, 0.750, 0.868], [0.250, 0.250, 0.593], [0.750, 0.750, 0.407], [0.250, 0.250, 0.394], [0.250, 0.250, 0.788], [0.750, 0.750, 0.212], [0.750, 0.750, 0.606], [0.250, 0.750, 0.000], [0.750, 0.250, 0.000]]}